one | Here is a relaxed structure of TlIr2Rh from the Alexandria database. Energies are from PBE-GGA.

Computed properties:
SG = I4/mmm
Fermi-level density of states = 4.25 states/eV/f.u.
Total magnetization = 0.00 μB per cell

Cell lengths 4.8820, 4.8820, 4.8820 Å; angles 131.05, 131.05, 71.73 degrees
Sites, in units of the cell vectors:
Tl (0.0000, 0.0000, 0.0000)
Ir (0.7500, 0.2500, 0.5000)
Ir (0.2500, 0.7500, 0.5000)
Rh (0.5000, 0.5000, 0.0000)

=====

two | Here is a relaxed structure of TlIr2Rh from the Alexandria database. Energies are from PBE-GGA.

Computed properties:
SG = Cmmm
Fermi-level density of states = 5.60 states/eV/f.u.
Total magnetization = 0.00 μB per cell

Cell lengths 2.8548, 2.8548, 9.5725 Å; angles 90.00, 90.00, 120.44 degrees
Sites, in units of the cell vectors:
Tl (0.5000, 0.5000, 0.0000)
Ir (0.0000, 0.0000, 0.2658)
Ir (0.0000, 0.0000, 0.7342)
Rh (0.5000, 0.5000, 0.5000)

=====

Of them, one has the highest stability.